# PBE-GGA Er8AgOs2, relaxed
data_Er8AgOs2
_chemical_formula_sum 'Er8 Ag1 Os2'
_cell_length_a 5.537
_cell_length_b 7.655
_cell_length_c 7.655
_cell_angle_alpha 111.31
_cell_angle_beta 98.26
_cell_angle_gamma 98.26
_space_group_name_H-M_alt 'P 1'
_space_group_IT_number 1
_space_group_name_Hall 'P 1'
loop_
_atom_site_label
_atom_site_type_symbol
_atom_site_fract_x
_atom_site_fract_y
_atom_site_fract_z
Er1 Er 0.198 0.382 0.382
Er2 Er 0.000 0.244 0.762
Er3 Er 0.802 0.624 0.624
Er4 Er 0.000 0.762 0.244
Er5 Er 0.410 0.937 0.672
Er6 Er 0.590 0.069 0.335
Er7 Er 0.590 0.335 0.069
Er8 Er 0.410 0.672 0.937
Ag1 Ag 0.003 0.003 0.003
Os1 Os 0.500 0.317 0.690
Os2 Os 0.500 0.690 0.317
# * symmetry: No. 8
# * calculated total energy: -5.8084 eV/atom
# * formation energy from the elements: -189 meV/atom